[1]
First-principles (PBE) data for a relaxed structure of LiU2Se5, as listed in Alexandria via LeMat-Bulk.

Unit cell a=7.189 b=7.189 c=13.341 alpha=90.00 beta=90.00 gamma=134.42
Positions (direct):
Li  0.219  0.781  0.750
Li  0.781  0.219  0.250
U  0.144  0.856  0.059
U  0.144  0.856  0.441
U  0.856  0.144  0.559
U  0.856  0.144  0.941
Se  0.050  0.950  0.623
Se  0.050  0.950  0.877
Se  0.230  0.770  0.250
Se  0.329  0.671  0.551
Se  0.329  0.671  0.949
Se  0.671  0.329  0.051
Se  0.671  0.329  0.449
Se  0.770  0.230  0.750
Se  0.950  0.050  0.123
Se  0.950  0.050  0.377

ΔE_f (raw): -1.06 eV per atom
space-group type: No. 63
E: -6.296 eV/atom

[2]
First-principles (PBE) data for a relaxed structure of Li5USe4, as listed in Alexandria via LeMat-Bulk.

Unit cell a=8.257 b=8.257 c=8.257 alpha=151.24 beta=125.74 gamma=62.56
Positions (direct):
Li  0.000  0.000  0.000
Li  0.114  0.321  0.793
Li  0.472  0.679  0.793
Li  0.528  0.321  0.207
Li  0.886  0.679  0.207
U  0.500  0.000  0.500
Se  0.230  0.500  0.730
Se  0.287  0.787  0.500
Se  0.713  0.213  0.500
Se  0.770  0.500  0.270

ΔE_f (raw): -1.16 eV per atom
space-group type: No. 71
E: -4.642 eV/atom